# PaTc2B2

A relaxed structure of PaTc2B2 (GGA-PBE, OQMD).

Unit cell a=5.4103 b=5.4103 c=5.4103 alpha=139.09 beta=139.09 gamma=59.23
Fractional coordinates of all 5 atoms:
Pa1 0.0000 0.0000 0.0000
Tc1 0.2500 0.7500 0.5000
Tc2 0.7500 0.2500 0.5000
B1 0.4005 0.4005 0.0000
B2 0.5995 0.5995 0.0000

Calculated values
* crystal system: tetragonal
* total moment: 0.000 μB per atom
* energy: -9.02 eV per atom